Version 1
The following is a DFT calculation (PBE) of a geometry-optimized TlSnSe2N structure.

a b c (Å): 5.4791 5.4791 4.1842
angles (deg): 90.00 90.00 90.00
Site moments in Bohr magnetons follow the coordinates.
Sites, in units of the cell vectors:
Se  0.5000  0.0000  0.0000  0.27
Se  0.0000  0.5000  0.0000  0.27
Sn  0.0000  0.0000  0.0000  -0.06
N  0.0000  0.0000  0.5000  0.78
Tl  0.5000  0.5000  0.5000  0.03

Values from the calculation:
Theoretical density (g/cm3): 6.544

Version 2
The following is a DFT calculation (PBE) of a geometry-optimized TlSnSe2N structure.

a b c (Å): 5.5213 5.5213 4.3184
angles (deg): 90.00 90.00 90.00
Site moments in Bohr magnetons follow the coordinates.
Sites, in units of the cell vectors:
Se  0.0000  0.5000  0.0000  0.17
Se  0.5000  0.0000  0.0000  0.17
Sn  0.5000  0.5000  0.5000  -0.01
Tl  0.0000  0.0000  0.0000  0.01
N  0.0000  0.0000  0.5000  1.08

Values from the calculation:
Theoretical density (g/cm3): 6.244

Result of the stability comparison: version 2 is the least stable of them.

Version 1
The following is a DFT calculation (PBE) of a geometry-optimized VSnSeN2 structure.

a b c (Å): 3.9020 3.9020 5.1495
angles (deg): 90.00 90.00 90.00
Sites, in units of the cell vectors:
N  0.0000  0.5000  0.0000
N  0.5000  0.0000  0.0000
V  0.0000  0.0000  0.0000
Sn  0.5000  0.5000  0.5000
Se  0.0000  0.0000  0.5000

Values from the calculation:
Theoretical density (g/cm3): 5.859

Version 2
The following is a DFT calculation (PBE) of a geometry-optimized VSnSeN2 structure.

a b c (Å): 4.0276 4.0276 5.4898
angles (deg): 90.00 90.00 90.00
Site moments in Bohr magnetons follow the coordinates.
Sites, in units of the cell vectors:
N  0.5000  0.0000  0.0000  -0.34
N  0.0000  0.5000  0.0000  -0.34
V  0.5000  0.5000  0.5000  -0.29
Sn  0.0000  0.0000  0.0000  0.02
Se  0.0000  0.0000  0.5000  0.00

Values from the calculation:
Theoretical density (g/cm3): 5.158

Result of the stability comparison: version 2 is the least stable of them.

Version 1
The following is a DFT calculation (PBE) of a geometry-optimized SnWSe2N structure.

a b c (Å): 5.1598 5.1598 3.8455
angles (deg): 90.00 90.00 90.00
Sites, in units of the cell vectors:
Se  0.5000  0.0000  0.0000
Se  0.0000  0.5000  0.0000
W  0.0000  0.0000  0.0000
Sn  0.5000  0.5000  0.5000
N  0.0000  0.0000  0.5000

Values from the calculation:
Theoretical density (g/cm3): 7.696

Version 2
The following is a DFT calculation (PBE) of a geometry-optimized SnWSe2N structure.

a b c (Å): 5.3165 5.3165 3.8742
angles (deg): 90.00 90.00 90.00
Site moments in Bohr magnetons follow the coordinates.
Sites, in units of the cell vectors:
W  0.5000  0.5000  0.5000  2.88
Se  0.5000  0.0000  0.0000  -0.18
Se  0.0000  0.5000  0.0000  -0.18
N  0.0000  0.0000  0.5000  -0.36
Sn  0.0000  0.0000  0.0000  0.05

Values from the calculation:
Theoretical density (g/cm3): 7.195

Result of the stability comparison: version 2 is the least stable of them.

Version 1
The following is a DFT calculation (PBE) of a geometry-optimized SnWSeN2 structure.

a b c (Å): 4.0825 4.0825 5.3713
angles (deg): 90.00 90.00 90.00
Site moments in Bohr magnetons follow the coordinates.
Sites, in units of the cell vectors:
N  0.0000  0.5000  0.0000  -0.59
N  0.5000  0.0000  0.0000  -0.59
W  0.5000  0.5000  0.5000  2.79
Se  0.0000  0.0000  0.5000  -0.05
Sn  0.0000  0.0000  0.0000  0.05

Values from the calculation:
Theoretical density (g/cm3): 7.596

Version 2
The following is a DFT calculation (PBE) of a geometry-optimized SnWSeN2 structure.

a b c (Å): 4.0134 4.0134 5.2526
angles (deg): 90.00 90.00 90.00
Sites, in units of the cell vectors:
W  0.0000  0.0000  0.0000
Se  0.0000  0.0000  0.5000
Sn  0.5000  0.5000  0.5000
N  0.0000  0.5000  0.0000
N  0.5000  0.0000  0.0000

Values from the calculation:
Theoretical density (g/cm3): 8.038

Result of the stability comparison: version 1 is the least stable of them.

Version 1
The following is a DFT calculation (PBE) of a geometry-optimized YSnSeN2 structure.

a b c (Å): 4.3743 4.3743 5.8247
angles (deg): 90.00 90.00 90.00
Sites, in units of the cell vectors:
N  0.0000  0.5000  0.0000
N  0.5000  0.0000  0.0000
Y  0.0000  0.0000  0.0000
Sn  0.5000  0.5000  0.5000
Se  0.0000  0.0000  0.5000

Values from the calculation:
Theoretical density (g/cm3): 4.687

Version 2
The following is a DFT calculation (PBE) of a geometry-optimized YSnSeN2 structure.

a b c (Å): 4.1446 4.1446 5.3664
angles (deg): 90.00 90.00 90.00
Site moments in Bohr magnetons follow the coordinates.
Sites, in units of the cell vectors:
N  0.0000  0.5000  0.0000  0.19
N  0.5000  0.0000  0.0000  0.19
Sn  0.0000  0.0000  0.0000  -0.01
Y  0.5000  0.5000  0.5000  -0.02
Se  0.0000  0.0000  0.5000  0.00

Values from the calculation:
Theoretical density (g/cm3): 5.667

Result of the stability comparison: version 1 is the least stable of them.

Version 1
The following is a DFT calculation (PBE) of a geometry-optimized ZnSnSe2N structure.

a b c (Å): 5.3823 5.3823 4.0327
angles (deg): 90.00 90.00 90.00
Site moments in Bohr magnetons follow the coordinates.
Sites, in units of the cell vectors:
Se  0.5000  0.0000  0.0000  0.14
Se  0.0000  0.5000  0.0000  0.14
Zn  0.5000  0.5000  0.5000  -0.05
N  0.0000  0.0000  0.5000  0.67
Sn  0.0000  0.0000  0.0000  -0.05

Values from the calculation:
Theoretical density (g/cm3): 5.061

Version 2
The following is a DFT calculation (PBE) of a geometry-optimized ZnSnSe2N structure.

a b c (Å): 5.2295 5.2295 3.8279
angles (deg): 90.00 90.00 90.00
Site moments in Bohr magnetons follow the coordinates.
Sites, in units of the cell vectors:
Zn  0.0000  0.0000  0.0000  0.04
N  0.0000  0.0000  0.5000  1.06
Sn  0.5000  0.5000  0.5000  -0.01
Se  0.5000  0.0000  0.0000  0.13
Se  0.0000  0.5000  0.0000  0.13

Values from the calculation:
Theoretical density (g/cm3): 5.648

Result of the stability comparison: version 1 is the least stable of them.

Version 1
The following is a DFT calculation (PBE) of a geometry-optimized Sr4Se2N structure.

a b c (Å): 4.1562 7.3344 8.1445
angles (deg): 116.18 104.78 90.00
Sites, in units of the cell vectors:
Sr  0.3861  0.7482  0.7722
Sr  0.6139  0.2518  0.2278
Sr  0.8870  0.1758  0.7739
Sr  0.1130  0.8242  0.2261
Se  0.2715  0.2699  0.5430
Se  0.7285  0.7301  0.4570
N  0.0000  0.0000  0.0000

Values from the calculation:
Theoretical density (g/cm3): 4.061

Version 2
The following is a DFT calculation (PBE) of a geometry-optimized Sr4Se2N structure.

a b c (Å): 5.1204 5.1204 8.6188
angles (deg): 72.72 72.72 90.00
Sites, in units of the cell vectors:
Sr  0.0000  0.5000  0.0000
Sr  0.8314  0.8314  0.3371
Sr  0.5000  0.0000  0.0000
Sr  0.1686  0.1686  0.6629
Se  0.3653  0.3653  0.2695
Se  0.6347  0.6347  0.7305
N  0.0000  0.0000  0.0000

Values from the calculation:
Theoretical density (g/cm3): 4.230

Result of the stability comparison: version 1 is the least stable of them.

Version 1
The following is a DFT calculation (PBE) of a geometry-optimized SrSe3N structure.

a b c (Å): 4.6387 4.6387 4.6387
angles (deg): 90.00 90.00 90.00
Sites, in units of the cell vectors:
Se  0.0000  0.5000  0.0000
Se  0.5000  0.0000  0.0000
Se  0.0000  0.0000  0.5000
Sr  0.5000  0.5000  0.5000
N  0.0000  0.0000  0.0000

Values from the calculation:
Theoretical density (g/cm3): 5.631

Version 2
The following is a DFT calculation (PBE) of a geometry-optimized SrSe3N structure.

a b c (Å): 6.1032 6.1032 6.1032
angles (deg): 90.00 90.00 90.00
Site moments in Bohr magnetons follow the coordinates.
Sites, in units of the cell vectors:
Se  0.0000  0.5000  0.0000  0.79
Se  0.0000  0.0000  0.5000  0.86
Se  0.5000  0.0000  0.0000  0.72
N  0.5000  0.5000  0.5000  1.93
Sr  0.0000  0.0000  0.0000  -0.01

Values from the calculation:
Theoretical density (g/cm3): 2.473

Result of the stability comparison: version 2 is the least stable of them.

Version 1
The following is a DFT calculation (PBE) of a geometry-optimized SrSe2N2 structure.

a b c (Å): 4.6765 4.6765 6.2894
angles (deg): 90.00 90.00 90.00
Site moments in Bohr magnetons follow the coordinates.
Sites, in units of the cell vectors:
N  0.0000  0.5000  0.0000  0.02
N  0.5000  0.0000  0.0000  0.02
Se  0.5000  0.5000  0.5000  -0.20
Se  0.0000  0.0000  0.5000  0.01
Sr  0.0000  0.0000  0.0000  0.00

Values from the calculation:
Theoretical density (g/cm3): 3.303

Version 2
The following is a DFT calculation (PBE) of a geometry-optimized SrSe2N2 structure.

a b c (Å): 6.1898 6.1898 5.1269
angles (deg): 90.00 90.00 90.00
Site moments in Bohr magnetons follow the coordinates.
Sites, in units of the cell vectors:
Se  0.0000  0.5000  0.0000  0.80
Se  0.5000  0.0000  0.0000  0.80
Sr  0.0000  0.0000  0.0000  0.01
N  0.0000  0.0000  0.5000  1.49
N  0.5000  0.5000  0.5000  1.91

Values from the calculation:
Theoretical density (g/cm3): 2.313

Version 3
The following is a DFT calculation (PBE) of a geometry-optimized SrSe2N2 structure.

a b c (Å): 4.4090 4.4090 4.5455
angles (deg): 90.00 90.00 90.00
Site moments in Bohr magnetons follow the coordinates.
Sites, in units of the cell vectors:
N  0.0000  0.0000  0.0000  -0.23
N  0.0000  0.0000  0.5000  1.10
Se  0.5000  0.0000  0.0000  0.09
Se  0.0000  0.5000  0.0000  0.09
Sr  0.5000  0.5000  0.5000  0.00

Values from the calculation:
Theoretical density (g/cm3): 5.141

Version 4
The following is a DFT calculation (PBE) of a geometry-optimized SrSe2N2 structure.

a b c (Å): 4.1829 4.1829 5.2631
angles (deg): 90.00 90.00 90.00
Site moments in Bohr magnetons follow the coordinates.
Sites, in units of the cell vectors:
Sr  0.5000  0.5000  0.5000  0.00
Se  0.0000  0.0000  0.0000  -0.03
Se  0.0000  0.0000  0.5000  0.06
N  0.5000  0.0000  0.0000  0.61
N  0.0000  0.5000  0.0000  0.61

Values from the calculation:
Theoretical density (g/cm3): 4.933

Result of the stability comparison: version 2 is the least stable of them.

Version 1
The following is a DFT calculation (PBE) of a geometry-optimized SrSeN structure.

a b c (Å): 4.0520 6.4771 8.1069
angles (deg): 128.27 72.58 76.14
Sites, in units of the cell vectors:
Se  0.4324  0.9814  0.2934
Se  0.2335  0.9471  0.8881
N  0.7836  0.8037  0.3314
N  0.8823  0.1248  0.8501
Sr  0.3156  0.5658  0.3613
Sr  0.3503  0.3628  0.8201

Values from the calculation:
Theoretical density (g/cm3): 4.569

Version 2
The following is a DFT calculation (PBE) of a geometry-optimized SrSeN structure.

a b c (Å): 4.7892 5.6770 7.9084
angles (deg): 134.02 90.00 114.95
Sites, in units of the cell vectors:
Se  0.4397  0.8794  0.1899
Se  0.5603  0.1206  0.8101
Sr  0.0000  0.0000  0.0000
Sr  0.0000  0.0000  0.5000
N  0.2754  0.5509  0.5248
N  0.7246  0.4491  0.4752

Values from the calculation:
Theoretical density (g/cm3): 4.790

Result of the stability comparison: version 2 is the least stable of them.

Version 1
The following is a DFT calculation (PBE) of a geometry-optimized SrTaSeN2 structure.

a b c (Å): 4.1787 4.1787 5.6053
angles (deg): 90.00 90.00 90.00
Site moments in Bohr magnetons follow the coordinates.
Sites, in units of the cell vectors:
Se  0.0000  0.0000  0.5000  0.00
Sr  0.0000  0.0000  0.0000  0.00
N  0.5000  0.0000  0.0000  0.12
N  0.0000  0.5000  0.0000  0.12
Ta  0.5000  0.5000  0.5000  0.01

Values from the calculation:
Theoretical density (g/cm3): 6.371

Version 2
The following is a DFT calculation (PBE) of a geometry-optimized SrTaSeN2 structure.

a b c (Å): 4.1443 4.1443 5.3116
angles (deg): 90.00 90.00 90.00
Site moments in Bohr magnetons follow the coordinates.
Sites, in units of the cell vectors:
Ta  0.0000  0.0000  0.0000  -0.04
N  0.5000  0.0000  0.0000  0.16
N  0.0000  0.5000  0.0000  0.16
Se  0.0000  0.0000  0.5000  0.00
Sr  0.5000  0.5000  0.5000  0.00

Values from the calculation:
Theoretical density (g/cm3): 6.836

Result of the stability comparison: version 1 is the least stable of them.

Version 1
The following is a DFT calculation (PBE) of a geometry-optimized SrTiSeN2 structure.

a b c (Å): 4.2353 4.2353 5.7607
angles (deg): 90.00 90.00 90.00
Site moments in Bohr magnetons follow the coordinates.
Sites, in units of the cell vectors:
Sr  0.0000  0.0000  0.0000  0.00
Ti  0.5000  0.5000  0.5000  0.07
Se  0.0000  0.0000  0.5000  -0.02
N  0.0000  0.5000  0.0000  0.02
N  0.5000  0.0000  0.0000  0.02

Values from the calculation:
Theoretical density (g/cm3): 3.896

Version 2
The following is a DFT calculation (PBE) of a geometry-optimized SrTiSeN2 structure.

a b c (Å): 4.0971 4.0971 5.2050
angles (deg): 90.00 90.00 90.00
Site moments in Bohr magnetons follow the coordinates.
Sites, in units of the cell vectors:
Ti  0.0000  0.0000  0.0000  -0.09
Sr  0.5000  0.5000  0.5000  0.00
N  0.0000  0.5000  0.0000  0.32
N  0.5000  0.0000  0.0000  0.32
Se  0.0000  0.0000  0.5000  0.08

Values from the calculation:
Theoretical density (g/cm3): 4.608

Result of the stability comparison: version 1 is the least stable of them.

Version 1
The following is a DFT calculation (PBE) of a geometry-optimized SrTiSe2N structure.

a b c (Å): 5.5721 5.5721 4.2955
angles (deg): 90.00 90.00 90.00
Site moments in Bohr magnetons follow the coordinates.
Sites, in units of the cell vectors:
Sr  0.0000  0.0000  0.0000  0.00
Se  0.5000  0.0000  0.0000  0.00
Se  0.0000  0.5000  0.0000  0.00
N  0.0000  0.0000  0.5000  0.00
Ti  0.5000  0.5000  0.5000  -0.07

Values from the calculation:
Theoretical density (g/cm3): 3.828

Version 2
The following is a DFT calculation (PBE) of a geometry-optimized SrTiSe2N structure.

a b c (Å): 5.2106 5.2106 3.8976
angles (deg): 90.00 90.00 90.00
Site moments in Bohr magnetons follow the coordinates.
Sites, in units of the cell vectors:
N  0.0000  0.0000  0.5000  0.40
Sr  0.5000  0.5000  0.5000  0.00
Se  0.0000  0.5000  0.0000  0.11
Se  0.5000  0.0000  0.0000  0.11
Ti  0.0000  0.0000  0.0000  -0.07

Values from the calculation:
Theoretical density (g/cm3): 4.824

Result of the stability comparison: version 1 is the least stable of them.